[1]
First-principles (PBE-GGA) data for a relaxed ZrVPt2 crystal, as listed in Alexandria via LeMat-Bulk.

a b c (Å): 4.043 4.043 4.018
angles (deg): 90.00 90.00 90.00
Space group P4/mmm (No. 123)
One atom of each set of equivalent atoms:
Zr 0.000 0.000 0.000 [1 per cell]
V 0.500 0.500 0.000 [1 per cell]
Pt 0.000 0.500 0.500 [2 per cell]

Results
Theoretical density, kg/m3: 13457
DFT formation energy, eV/atom: -0.7009



[2]
First-principles (PBE-GGA) data for a relaxed CaHgAu6 crystal, as listed in Alexandria via LeMat-Bulk.

a b c (Å): 5.449 5.449 5.449
angles (deg): 90.00 90.00 90.00
Space group Pm-3 (No. 200)
One atom of each set of equivalent atoms:
Ca 0.000 0.000 0.000 [1 per cell]
Hg 0.500 0.500 0.500 [1 per cell]
Au 0.000 0.250 0.500 [6 per cell]

Results
Theoretical density, kg/m3: 14596
DFT formation energy, eV/atom: -0.1905



[3]
First-principles (PBE-GGA) data for a relaxed KCaOs2 crystal, as listed in Alexandria via LeMat-Bulk.

a b c (Å): 5.206 10.213 2.932
angles (deg): 90.00 90.00 90.00
Space group Cmmm (No. 65)
One atom of each set of equivalent atoms:
K 0.000 0.000 0.000 [2 per cell]
Ca 0.000 0.500 0.000 [2 per cell]
Os 0.250 0.250 0.500 [4 per cell]

Results
Theoretical density, kg/m3: 9793
DFT formation energy, eV/atom: 1.1755



[4]
First-principles (PBE-GGA) data for a relaxed AcAu2S8 crystal, as listed in Alexandria via LeMat-Bulk.

a b c (Å): 17.478 6.216 4.827
angles (deg): 90.00 90.21 90.00
Space group C2/m (No. 12)
One atom of each set of equivalent atoms:
Ac 0.000 0.000 0.000 [2 per cell]
Au 0.241 0.000 0.781 [4 per cell]
S 0.026 0.500 0.691 [4 per cell]
S 0.138 0.000 0.435 [4 per cell]
S 0.150 0.248 0.142 [8 per cell]

Results
Theoretical density, kg/m3: 5556
Uncorrected formation energy, kJ/mol of formula units: -143



[5]
First-principles (PBE-GGA) data for a relaxed Ac4GaRhI2 crystal, as listed in Alexandria via LeMat-Bulk.

a b c (Å): 7.958 4.501 8.851
angles (deg): 90.00 106.85 90.00
Space group P2/m (No. 10)
One atom of each set of equivalent atoms:
Ac 0.221 0.000 0.189 [2 per cell]
Ac 0.244 0.500 0.810 [2 per cell]
Ga 0.500 0.000 0.000 [1 per cell]
Rh 0.000 0.500 0.000 [1 per cell]
I 0.000 0.000 0.500 [1 per cell]
I 0.500 0.500 0.500 [1 per cell]

Results
Theoretical density, kg/m3: 7303
Uncorrected formation energy, kJ/mol of formula units: -668



[6]
First-principles (PBE-GGA) data for a relaxed RbLiSnCl4 crystal, as listed in Alexandria via LeMat-Bulk.

a b c (Å): 7.251 7.201 8.993
angles (deg): 90.00 109.97 90.00
Space group P2_1/m (No. 11)
One atom of each set of equivalent atoms:
Rb 0.235 0.250 0.457 [2 per cell]
Li 0.243 0.750 0.179 [2 per cell]
Sn 0.283 0.250 0.985 [2 per cell]
Cl 0.018 0.750 0.918 [2 per cell]
Cl 0.054 0.750 0.339 [2 per cell]
Cl 0.462 0.003 0.215 [4 per cell]

Results
Theoretical density, kg/m3: 2656
Uncorrected formation energy, kJ/mol of formula units: -1014



[7]
First-principles (PBE-GGA) data for a relaxed In2HgSb crystal, as listed in Alexandria via LeMat-Bulk.

a b c (Å): 3.362 5.155 6.504
angles (deg): 90.00 103.97 90.00
Space group P2/m (No. 10)
One atom of each set of equivalent atoms:
In 0.057 0.000 0.253 [2 per cell]
Hg 0.500 0.500 0.000 [1 per cell]
Sb 0.500 0.500 0.500 [1 per cell]

Results
Theoretical density, kg/m3: 8379
Uncorrected formation energy, kJ/mol of formula units: 19



[8]
First-principles (PBE-GGA) data for a relaxed LiHoScOs crystal, as listed in Alexandria via LeMat-Bulk.

a b c (Å): 6.711 6.711 6.711
angles (deg): 90.00 90.00 90.00
Space group F-43m (No. 216)
One atom of each set of equivalent atoms:
Li 0.000 0.000 0.000 [4 per cell]
Ho 0.250 0.250 0.250 [4 per cell]
Sc 0.250 0.250 0.750 [4 per cell]
Os 0.000 0.000 0.500 [4 per cell]

Results
Theoretical density, kg/m3: 8944
DFT formation energy, eV/atom: -0.2745